# NiPSO2 PBE+U optimized geometry
data_NiPSO2
_space_group_name_H-M_alt 'P 4/m m m'
_space_group_IT_number 123
_space_group_name_Hall '-P 4 2'
_cell_length_a 3.496
_cell_length_b 3.496
_cell_length_c 6.048
_cell_angle_alpha 90.00
_cell_angle_beta 90.00
_cell_angle_gamma 90.00
loop_
_atom_site_label
_atom_site_fract_x
_atom_site_fract_y
_atom_site_fract_z
Ni1 0.000 0.000 0.000
P1 0.000 0.000 0.500
S1 0.500 0.500 0.500
O1 0.000 0.500 0.000
# total DFT energy (no corrections)	-4.0396	eV per atom